{
  "formula": "TiCr2F8",
  "functional": "PBE with a Hubbard U",
  "state": "relaxed",
  "cell": [[4.2279, -3.6725, 0.0000], [4.2279, 3.6725, 0.0000], [-1.1993, 0.0000, 4.7846]],
  "species": ["Ti", "Cr", "Cr", "F", "F", "F", "F", "F", "F", "F", "F"],
  "fractional_positions": [[0.0000, 0.0000, 0.0000], [0.3239, 0.3239, 0.5424], [0.6761, 0.6761, 0.4576], [0.0484, 0.7034, 0.7477], [0.1625, 0.1625, 0.7950], [0.2966, 0.9516, 0.2523], [0.4395, 0.4395, 0.2397], [0.5605, 0.5605, 0.7603], [0.7034, 0.0484, 0.7477], [0.8375, 0.8375, 0.2050], [0.9516, 0.2966, 0.2523]],
  "e_tot_ev_per_atom": -6.31,
  "de_polymorph_mev_per_atom": 8,
  "magmom_total_mub_per_fu": 8.0
}